Entry 1:
## MoRu2Au (PBE)

Data for a relaxed MoRu2Au crystal.

Structure (extended XYZ):
```
4
Lattice="2.7812 0.0000 0.0000 0.0000 3.9739 0.0000 0.0000 0.0000 5.5625" Properties=species:S:1:pos:R:3 pbc="T T T"
Ru 1.3906 1.9869 1.2338
Ru 0.0000 0.0000 0.0298
Mo 1.3906 1.9869 4.3106
Au 0.0000 0.0000 2.7696
```

Space group: Pmm2
ΔE to the lowest computed polymorph (eV per atom): 0.019
Energy of formation (meV/atom): 185
Volume (Å³/cell): 61
Fermi-level density of states (states/eV per atom): 1.092
Total DFT energy (no corrections) (eV/f.u.): -31.92

Entry 2:
## MoRu2Au (PBE)

Data for a relaxed MoRu2Au crystal.

Structure (extended XYZ):
```
4
Lattice="-4.5312 -2.8118 0.7575 -1.1309 -1.6844 4.9896 0.8374 4.1056 -3.3845" Properties=species:S:1:pos:R:3 pbc="T T T"
Ru -0.1483 -0.1178 0.1505
Ru -2.6827 -2.1303 2.7230
Mo -1.5623 0.0865 2.2393
Au -3.2625 -0.4772 0.1232
```

Space group: Immm
ΔE to the lowest computed polymorph (eV per atom): 0.213
Energy of formation (meV/atom): 379
Volume (Å³/cell): 64
Fermi-level density of states (states/eV per atom): 0.779
Total DFT energy (no corrections) (eV/f.u.): -31.14

Entry 3:
## MoRu2Au (PBE)

Data for a relaxed MoRu2Au crystal.

Structure (extended XYZ):
```
4
Lattice="4.8493 -0.0018 -0.0030 4.0434 2.6770 -0.0030 0.8083 0.2432 4.7183" Properties=species:S:1:pos:R:3 pbc="T T T"
Ru 7.2189 2.1717 3.6418
Ru 0.8514 0.2561 4.6929
Au 4.8417 1.4566 2.3581
Mo 2.4476 0.7363 1.0941
```

Space group: Cm
ΔE to the lowest computed polymorph (eV per atom): 0.074
Energy of formation (meV/atom): 240
Volume (Å³/cell): 61
Fermi-level density of states (states/eV per atom): 1.050
Total DFT energy (no corrections) (eV/f.u.): -31.70

Entry 4:
## MoRu4Au (PBE)

Data for a relaxed MoRu4Au crystal.

Structure (extended XYZ):
```
6
Lattice="-4.7789 -1.2759 -1.1714 -3.8816 2.0921 2.5286 -3.0307 3.3567 -2.3206" Properties=species:S:1:pos:R:3 pbc="T T T"
Ru -4.3853 1.5652 -0.3613
Ru -5.8995 3.2423 -1.5208
Ru -6.7730 0.9278 -0.9466
Ru -6.3247 2.6105 0.9020
Mo 0.0000 0.0000 0.0000
Au -8.7684 3.1297 -0.7225
```

Space group: F-43m
Energy of formation (meV/atom): 446
Volume (Å³/cell): 93
Fermi-level density of states (states/eV per atom): 1.544
Total DFT energy (no corrections) (eV/f.u.): -48.54

Entry 5:
## MoRu3Au (PBE)

Data for a relaxed MoRu3Au crystal.

Structure (extended XYZ):
```
5
Lattice="4.7431 0.0000 0.0000 0.0000 4.7431 0.0000 0.0000 0.0000 4.7431" Properties=species:S:1:pos:R:3 pbc="T T T"
Au 0.0000 0.0000 0.0000
Mo 2.3715 2.3715 2.3715
Ru 2.3715 0.0000 0.0000
Ru 0.0000 2.3715 0.0000
Ru 0.0000 0.0000 2.3715
```

Space group: Pm-3m
ΔE to the lowest computed polymorph (eV per atom): 1.028
Energy of formation (meV/atom): 2610
Volume (Å³/cell): 107
Fermi-level density of states (states/eV per atom): 3.080
Total DFT energy (no corrections) (eV/f.u.): -28.89

Entry 6:
## MoRuAu3 (PBE)

Data for a relaxed MoRuAu3 crystal.

Structure (extended XYZ):
```
5
Lattice="4.9893 0.0000 0.0000 0.0000 4.9893 0.0000 0.0000 0.0000 4.9893" Properties=species:S:1:pos:R:3 pbc="T T T"
Au 2.4947 0.0000 0.0000
Au 0.0000 0.0000 2.4947
Au 0.0000 2.4947 0.0000
Mo 2.4947 2.4947 2.4947
Ru 0.0000 0.0000 0.0000
```

Space group: Pm-3m
ΔE to the lowest computed polymorph (eV per atom): 0.000
Energy of formation (meV/atom): 1580
Volume (Å³/cell): 124
Fermi-level density of states (states/eV per atom): 0.532
Total DFT energy (no corrections) (eV/f.u.): -22.04

Number 1: calculated density 13.4 g/cm3. Number 2: calculated density 12.9 g/cm3. Number 3: calculated density 13.4 g/cm3. Number 4: calculated density 12.5 g/cm3. Number 5: calculated density 9.3 g/cm3. Number 6: calculated density 10.5 g/cm3.